No. 1
Here is Pm6Ho8Cd after structural relaxation from the Alexandria database. Energies are from PBE.

The structure belongs to space group P-3 (No. 147); the cell edges are 9.4658, 9.4658 and 6.2820 Å and the angles 90.00°, 90.00° and 120.00°. The distinct sites, in fractional coordinates, are Pm at (0.0905, 0.6368, 0.1899), Ho at (0.0406, 0.7788, 0.6926), Ho at (0.3333, 0.6667, 0.6840) and Cd at (0.0000, 0.0000, 0.0000).

The formation energy is 1.251 eV/f.u. The calculation puts the density of states at the Fermi level at 1.202 states/eV/atom. Its spin magnetization is 0.00 μB per cell.



No. 2
Here is ZrI after structural relaxation from the Alexandria database. Energies are from PBE.

The structure belongs to space group Fm-3m (No. 225); the cell edges are 5.9309, 5.9309 and 5.9309 Å and the angles 90.00°, 90.00° and 90.00°. The distinct sites, in fractional coordinates, are Zr at (0.0000, 0.0000, 0.0000) and I at (0.0000, 0.0000, 0.5000).

The calculation puts the density of states at the Fermi level at 1.391 states/eV/atom. Its spin magnetization is 0.00 μB per cell. The uncorrected formation energy is 0.397 eV per atom.



No. 3
Here is HfMg2Ti2 after structural relaxation from the Alexandria database. Energies are from PBE.

The structure belongs to space group P4/mbm (No. 127); the cell edges are 7.9058, 7.9058 and 3.1717 Å and the angles 90.00°, 90.00° and 90.00°. The distinct sites, in fractional coordinates, are Hf at (0.0000, 0.0000, 0.0000), Mg at (0.1256, 0.3744, 0.0000) and Ti at (0.1744, 0.6744, 0.5000).

The formation energy is 1.773 eV/f.u. The calculation puts the density of states at the Fermi level at 1.930 states/eV/atom. Its spin magnetization is 1.55 μB per cell.



No. 4
Here is CsNi2P after structural relaxation from the Alexandria database. Energies are from PBE.

The structure belongs to space group R-3m (No. 166, hexagonal axes); the cell edges are 3.9559, 3.9559 and 19.1167 Å and the angles 90.00°, 90.00° and 120.00°. The distinct sites, in fractional coordinates, are Cs at (0.0000, 0.0000, 0.0000), Ni at (0.0000, 0.0000, 0.1827) and P at (0.0000, 0.0000, 0.5000).

The formation energy is -1.032 eV/f.u. The calculation puts the density of states at the Fermi level at 0.741 states/eV/atom. Its spin magnetization is 0.00 μB per cell.



No. 5
Here is AlV2FeC after structural relaxation from the Alexandria database. Energies are from PBE.

The structure belongs to space group P4/mmm (No. 123); the cell edges are 3.9914, 3.9914 and 3.7908 Å and the angles 90.00°, 90.00° and 90.00°. The distinct sites, in fractional coordinates, are Al at (0.0000, 0.0000, 0.0000), V at (0.0000, 0.5000, 0.5000), Fe at (0.5000, 0.5000, 0.0000) and C at (0.5000, 0.5000, 0.5000).

The formation energy is -1.016 eV/f.u. The calculation puts the density of states at the Fermi level at 1.100 states/eV/atom. Its spin magnetization is 2.70 μB per cell.



No. 6
Here is Rb2AgHg after structural relaxation from the Alexandria database. Energies are from PBE.

The structure belongs to space group Amm2 (No. 38); the cell edges are 5.0087, 5.2625 and 13.0973 Å and the angles 90.00°, 90.00° and 90.00°. The distinct sites, in fractional coordinates, are Rb at (0.0000, 0.0000, 0.0000), Rb at (0.5000, 0.0000, 0.2876), Ag at (0.0000, 0.0000, 0.7012) and Hg at (0.5000, 0.0000, 0.5828).

The formation energy is -0.448 eV/f.u. The calculation puts the density of states at the Fermi level at 0.446 states/eV/atom. Its spin magnetization is 0.00 μB per cell.



No. 7
Here is CuPbSO6 after structural relaxation from the Alexandria database. Energies are from PBE.

The structure belongs to space group P2_1/m (No. 11); the cell edges are 4.7192, 5.4591 and 10.1050 Å and the angles 90.00°, 101.45° and 90.00°. The distinct sites, in fractional coordinates, are Cu at (0.0000, 0.0000, 0.0000), Pb at (0.0249, 0.2500, 0.6682), S at (0.4532, 0.2500, 0.3490), O at (0.1538, 0.2500, 0.9142), O at (0.1910, 0.7500, 0.9392), O at (0.2214, 0.7500, 0.6269), O at (0.3454, 0.0259, 0.2687) and O at (0.3627, 0.2500, 0.4803).

The calculation puts the density of states at the Fermi level at 0.583 states/eV/atom. Its spin magnetization is 1.95 μB per cell. The uncorrected formation energy is -0.944 eV per atom.



No. 8
Here is SbPOs after structural relaxation from the Alexandria database. Energies are from PBE.

The structure belongs to space group Imm2 (No. 44); the cell edges are 3.1923, 4.1836 and 7.9508 Å and the angles 90.00°, 90.00° and 90.00°. The distinct sites, in fractional coordinates, are Sb at (0.0000, 0.0000, 0.0000), P at (0.0000, 0.0000, 0.6604) and Os at (0.0000, 0.0000, 0.3640).

The calculation puts the density of states at the Fermi level at 0.528 states/eV/atom. Its spin magnetization is 0.00 μB per cell. The uncorrected formation energy is 0.690 eV per atom.



No. 9
Here is CeScTlRu after structural relaxation from the Alexandria database. Energies are from PBE.

The structure belongs to space group P4mm (No. 99); the cell edges are 3.3023, 3.3023 and 8.1186 Å and the angles 90.00°, 90.00° and 90.00°. The distinct sites, in fractional coordinates, are Ce at (0.0000, 0.0000, 0.0000), Sc at (0.0000, 0.0000, 0.5900), Tl at (0.5000, 0.5000, 0.3162) and Ru at (0.5000, 0.5000, 0.7745).

The formation energy is -1.665 eV/f.u. The calculation puts the density of states at the Fermi level at 0.832 states/eV/atom. Its spin magnetization is 0.36 μB per cell.



No. 10
Here is CuSiPd3 after structural relaxation from the Alexandria database. Energies are from PBE.

The structure belongs to space group Pm-3m (No. 221); the cell edges are 4.5515, 4.5515 and 4.5515 Å and the angles 90.00°, 90.00° and 90.00°. The distinct sites, in fractional coordinates, are Cu at (0.0000, 0.0000, 0.0000), Si at (0.5000, 0.5000, 0.5000) and Pd at (0.0000, 0.0000, 0.5000).

The calculation puts the density of states at the Fermi level at 1.289 states/eV/atom. Its spin magnetization is 0.00 μB per cell. The uncorrected formation energy is 0.822 eV per atom.



No. 11
Here is ZrGaN2 after structural relaxation from the Alexandria database. Energies are from PBE.

The structure belongs to space group I-42d (No. 122); the cell edges are 4.8693, 4.8693 and 9.3691 Å and the angles 90.00°, 90.00° and 90.00°. The distinct sites, in fractional coordinates, are Zr at (0.0000, 0.0000, 0.0000), Ga at (0.0000, 0.0000, 0.5000) and N at (0.2257, 0.2500, 0.6250).

The calculation puts the density of states at the Fermi level at 0.655 states/eV/atom. Its spin magnetization is 0.00 μB per cell. The uncorrected formation energy is -0.637 eV per atom.



No. 12
Here is RuCN after structural relaxation from the Alexandria database. Energies are from PBE.

The structure belongs to space group I4mm (No. 107); the cell edges are 2.8519, 2.8519 and 7.9722 Å and the angles 90.00°, 90.00° and 90.00°. The distinct sites, in fractional coordinates, are Ru at (0.0000, 0.0000, 0.0000), C at (0.0000, 0.0000, 0.3926) and N at (0.0000, 0.0000, 0.2346).

The calculation puts the density of states at the Fermi level at 0.720 states/eV/atom. Its spin magnetization is 0.00 μB per cell. The uncorrected formation energy is 0.661 eV per atom.